Version P
Entry from Alexandria via LeMat-Bulk: a relaxed ZnSi2Pd8 crystal (PBE-GGA).

Results
N(E_F): 0.25 states/eV/atom
space group: Immm (71)

```
ZnSi2Pd8
1.0
-1.983 3.469 5.948
1.983 -3.469 5.948
1.983 3.469 -5.948
Zn Si Pd
1 2 8
direct
0.000 0.000 0.000
0.314 0.314 0.000
0.686 0.686 0.000
0.119 0.835 0.283
0.143 0.643 0.500
0.309 0.500 0.809
0.448 0.165 0.283
0.552 0.835 0.717
0.691 0.500 0.191
0.857 0.357 0.500
0.881 0.165 0.717
```

Version Q
Entry from Alexandria via LeMat-Bulk: a relaxed ZnSi2Pd8 crystal (PBE-GGA).

Results
N(E_F): 0.44 states/eV/atom
space group: C2/m (12)

```
ZnSi2Pd8
1.0
7.279 -1.982 0.000
7.279 1.982 0.000
-1.984 0.000 5.706
Zn Si Pd
1 2 8
direct
0.000 0.000 0.000
0.316 0.316 0.306
0.684 0.684 0.694
0.095 0.095 0.475
0.175 0.175 0.962
0.304 0.304 0.692
0.468 0.468 0.238
0.532 0.532 0.762
0.696 0.696 0.308
0.825 0.825 0.038
0.905 0.905 0.525
```

version Q has the most favorable energy; the next structure is 1.8 kJ/mol of atoms above.

Version P
Entry from Alexandria via LeMat-Bulk: a relaxed Zn2SiPd6 crystal (PBE-GGA).

Results
N(E_F): 0.29 states/eV/atom
space group: C2/m (12)

```
Zn2SiPd6
1.0
6.505 -2.917 0.000
6.505 2.917 0.000
-1.276 0.000 3.889
Zn Si Pd
2 1 6
direct
0.167 0.167 0.167
0.833 0.833 0.833
0.500 0.500 0.500
0.097 0.582 0.340
0.261 0.739 0.000
0.418 0.903 0.660
0.582 0.097 0.340
0.739 0.261 0.000
0.903 0.418 0.660
```

Version Q
Entry from Alexandria via LeMat-Bulk: a relaxed Zn2SiPd6 crystal (PBE-GGA).

Results
N(E_F): 0.44 states/eV/atom
space group: P-62m (189)

```
Zn2SiPd6
1.0
7.176 0.000 0.000
-3.588 6.215 0.000
0.000 0.000 2.974
Zn Si Pd
2 1 6
direct
0.333 0.667 0.000
0.667 0.333 0.000
0.000 0.000 0.500
0.000 0.264 0.000
0.000 0.614 0.500
0.264 0.000 0.000
0.386 0.386 0.500
0.614 0.000 0.500
0.736 0.736 0.000
```

version Q has the most favorable energy; the next structure is 10.0 kJ/mol of atoms above.

Version P
Entry from Alexandria via LeMat-Bulk: a relaxed ZrSiPd3 crystal (PBE-GGA).

Results
N(E_F): 0.69 states/eV/atom
space group: Pm-3m (221)

```
ZrSiPd3
1.0
4.517 0.000 0.000
0.000 4.517 0.000
0.000 0.000 4.517
Zr Si Pd
1 1 3
direct
0.000 0.000 0.000
0.500 0.500 0.500
0.000 0.500 0.500
0.500 0.000 0.500
0.500 0.500 0.000
```

Version Q
Entry from Alexandria via LeMat-Bulk: a relaxed ZrSiPd3 crystal (PBE-GGA).

Results
N(E_F): 0.52 states/eV/atom
space group: Pm-3m (221)

```
ZrSiPd3
1.0
4.908 0.000 0.000
0.000 4.908 0.000
0.000 0.000 4.908
Zr Si Pd
1 1 3
direct
0.000 0.000 0.000
0.500 0.500 0.500
0.000 0.000 0.500
0.000 0.500 0.000
0.500 0.000 0.000
```

version P has the most favorable energy; the next structure is 106.7 kJ/mol of atoms above.

Version P
Entry from Alexandria via LeMat-Bulk: a relaxed Sm3Pd crystal (PBE-GGA).

Results
N(E_F): 1.25 states/eV/atom
space group: I4/mmm (139)

```
Sm3Pd
1.0
-2.236 2.236 5.482
2.236 -2.236 5.482
2.236 2.236 -5.482
Sm Pd
3 1
direct
0.000 0.000 0.000
0.250 0.750 0.500
0.750 0.250 0.500
0.500 0.500 0.000
```

Version Q
Entry from Alexandria via LeMat-Bulk: a relaxed Sm3Pd crystal (PBE-GGA).

Results
N(E_F): 1.34 states/eV/atom
space group: Cmcm (63)

```
Sm3Pd
1.0
1.935 -6.154 0.000
1.935 6.154 0.000
0.000 0.000 9.712
Sm Pd
6 2
direct
0.070 0.930 0.750
0.365 0.635 0.561
0.365 0.635 0.939
0.635 0.365 0.061
0.635 0.365 0.439
0.930 0.070 0.250
0.233 0.767 0.250
0.767 0.233 0.750
```

version Q has the most favorable energy; the next structure is 25.2 kJ/mol of atoms above.

Version P
Entry from Alexandria via LeMat-Bulk: a relaxed Sm3Pd crystal (PBE-GGA).

Results
N(E_F): 1.13 states/eV/atom
space group: Immm (71)

```
Sm3Pd
1.0
-1.886 2.740 5.519
1.886 -2.740 5.519
1.886 2.740 -5.519
Sm Pd
3 1
direct
0.000 0.000 0.000
0.294 0.794 0.500
0.706 0.206 0.500
0.500 0.500 0.000
```

Version Q
Entry from Alexandria via LeMat-Bulk: a relaxed Sm3Pd crystal (PBE-GGA).

Results
N(E_F): 1.04 states/eV/atom
space group: Pm-3m (221)

```
Sm3Pd
1.0
4.782 0.000 0.000
0.000 4.782 0.000
0.000 0.000 4.782
Sm Pd
3 1
direct
0.000 0.000 0.500
0.000 0.500 0.000
0.500 0.000 0.000
0.500 0.500 0.500
```

version P has the most favorable energy; the next structure is 19.1 kJ/mol of atoms above.

Version P
Entry from Alexandria via LeMat-Bulk: a relaxed Sm3Pd crystal (PBE-GGA).

Results
N(E_F): 1.59 states/eV/atom
space group: P1 (1)

```
Sm3Pd
1.0
6.134 0.000 0.000
3.047 8.610 0.000
3.049 -0.003 8.610
Sm Pd
12 4
direct
0.000 0.000 0.000
0.000 0.285 0.715
0.076 0.642 0.768
0.154 0.832 0.358
0.342 0.453 0.357
0.358 0.285 0.000
0.485 0.643 0.947
0.515 0.053 0.358
0.643 0.999 0.715
0.659 0.641 0.547
0.846 0.642 0.168
0.925 0.232 0.357
0.205 0.938 0.654
0.500 0.345 0.653
0.500 0.939 0.062
0.796 0.346 0.061
```

Version Q
Entry from Alexandria via LeMat-Bulk: a relaxed Sm3Pd crystal (PBE-GGA).

Results
N(E_F): 1.16 states/eV/atom
space group: Pmm2 (25)

```
Sm3Pd
1.0
3.611 0.000 0.000
0.000 3.737 0.000
0.000 0.000 9.207
Sm Pd
3 1
direct
0.000 0.000 0.000
0.000 0.500 0.333
0.500 0.500 0.722
0.500 0.000 0.477
```

version P has the most favorable energy; the next structure is 17.1 kJ/mol of atoms above.

Version P
Entry from Alexandria via LeMat-Bulk: a relaxed Sm3Pd2 crystal (PBE-GGA).

Results
N(E_F): 0.81 states/eV/atom
space group: P4/mbm (127)

```
Sm3Pd2
1.0
7.997 0.000 0.000
0.000 7.997 0.000
0.000 0.000 3.970
Sm Pd
6 4
direct
0.000 0.000 0.000
0.167 0.333 0.500
0.333 0.833 0.500
0.500 0.500 0.000
0.667 0.167 0.500
0.833 0.667 0.500
0.128 0.628 0.000
0.372 0.128 0.000
0.628 0.872 0.000
0.872 0.372 0.000
```

Version Q
Entry from Alexandria via LeMat-Bulk: a relaxed Sm3Pd2 crystal (PBE-GGA).

Results
N(E_F): 0.84 states/eV/atom
space group: C2/m (12)

```
Sm3Pd2
1.0
9.160 -2.155 0.000
9.160 2.155 0.000
-1.569 0.000 10.833
Sm Pd
9 6
direct
0.000 0.000 0.000
0.037 0.037 0.660
0.292 0.292 0.386
0.329 0.329 0.050
0.373 0.373 0.723
0.627 0.627 0.277
0.671 0.671 0.950
0.708 0.708 0.614
0.963 0.963 0.340
0.133 0.133 0.462
0.185 0.185 0.134
0.475 0.475 0.174
0.525 0.525 0.826
0.815 0.815 0.866
0.867 0.867 0.538
```

version P has the most favorable energy; the next structure is 9.0 kJ/mol of atoms above.

Version P
Entry from Alexandria via LeMat-Bulk: a relaxed Sm4Pd crystal (PBE-GGA).

Results
N(E_F): 2.17 states/eV/atom
space group: Pm-3m (221)

```
Sm4Pd
1.0
5.586 0.000 0.000
0.000 5.586 0.000
0.000 0.000 5.586
Sm Pd
4 1
direct
0.000 0.000 0.000
0.000 0.500 0.500
0.500 0.000 0.500
0.500 0.500 0.000
0.500 0.500 0.500
```

Version Q
Entry from Alexandria via LeMat-Bulk: a relaxed Sm4Pd crystal (PBE-GGA).

Results
N(E_F): 1.16 states/eV/atom
space group: Fdd2 (43)

```
Sm4Pd
1.0
0.000 6.495 3.720
6.461 0.000 3.720
6.461 6.495 0.000
Sm Pd
8 2
direct
0.043 0.457 0.200
0.050 0.950 0.207
0.082 0.498 0.762
0.457 0.043 0.300
0.488 0.593 0.168
0.498 0.082 0.657
0.593 0.488 0.752
0.950 0.050 0.793
0.645 0.645 0.355
0.895 0.895 0.605
```

version Q has the most favorable energy; the next structure is 15.4 kJ/mol of atoms above.